[1]
Entry from Alexandria via LeMat-Bulk: a geometry-optimized Hf2Nb2Pd structure (PBE).

Lattice parameters (Å, degrees): 3.014 5.446 7.388 70.49 81.89 56.39
Positions (direct):
Hf (0.795, 0.100, 0.800)
Hf (0.205, 0.900, 0.200)
Nb (0.373, 0.295, 0.412)
Nb (0.627, 0.705, 0.588)
Pd (0.000, 0.500, 0.000)

Crystal system ... monoclinic
Energy relative to the elements ... -14.91 kJ per mole of atoms
Energy above the most stable polymorph in this dataset ... 0.000 eV per atom

---

[2]
Entry from Alexandria via LeMat-Bulk: a geometry-optimized Sc2Mn3Be structure (PBE).

Lattice parameters (Å, degrees): 4.774 4.774 4.943 89.97 118.93 119.98
Positions (direct):
Sc (0.246, 0.623, 0.869)
Sc (0.754, 0.377, 0.131)
Mn (0.500, 0.000, 0.500)
Mn (0.000, 0.000, 0.500)
Mn (0.500, 0.500, 0.500)
Be (0.000, 0.000, 0.000)

Crystal system ... trigonal
Energy relative to the elements ... -13.31 kJ per mole of atoms

---

[3]
Entry from Alexandria via LeMat-Bulk: a geometry-optimized Ho4Mg2In structure (PBE).

Lattice parameters (Å, degrees): 5.247 5.247 8.944 72.94 72.94 60.00
Positions (direct):
Ho (0.615, 0.615, 0.154)
Ho (0.385, 0.385, 0.846)
Ho (0.870, 0.870, 0.390)
Ho (0.130, 0.130, 0.610)
In (0.000, 0.000, 0.000)
Mg (0.744, 0.744, 0.767)
Mg (0.256, 0.256, 0.233)

Crystal system ... trigonal
Energy relative to the elements ... 0.30 kJ per mole of atoms
Energy above the most stable polymorph in this dataset ... 0.000 eV per atom

---

[4]
Entry from Alexandria via LeMat-Bulk: a geometry-optimized K2AgH2 structure (PBE).

Lattice parameters (Å, degrees): 7.684 7.684 3.450 90.00 90.00 90.00
Positions (direct):
H (0.656, 0.156, 0.000)
H (0.844, 0.656, 0.000)
H (0.344, 0.844, 0.000)
H (0.156, 0.344, 0.000)
K (0.149, 0.649, 0.500)
K (0.351, 0.149, 0.500)
K (0.851, 0.351, 0.500)
K (0.649, 0.851, 0.500)
Ag (0.500, 0.500, 0.000)
Ag (0.000, 0.000, 0.000)

Crystal system ... tetragonal
Energy above the most stable polymorph in this dataset ... 0.182 eV per atom

---

[5]
Entry from Alexandria via LeMat-Bulk: a geometry-optimized SrAl2Zn structure (PBE).

Lattice parameters (Å, degrees): 4.347 4.347 6.457 70.32 70.32 60.01
Positions (direct):
Al (0.957, 0.957, 0.129)
Al (0.543, 0.543, 0.371)
Zn (0.250, 0.250, 0.250)
Sr (0.750, 0.750, 0.750)

Crystal system ... trigonal
Energy relative to the elements ... -16.17 kJ per mole of atoms

---

[6]
Entry from Alexandria via LeMat-Bulk: a geometry-optimized NdBPtRh structure (PBE).

Lattice parameters (Å, degrees): 3.426 4.378 5.281 114.49 90.00 90.00
Positions (direct):
Rh (0.000, 0.854, 0.707)
Pt (0.500, 0.516, 0.032)
Nd (0.500, 0.217, 0.435)
B (0.000, 0.641, 0.282)

Crystal system ... orthorhombic
Energy relative to the elements ... -37.44 kJ per mole of atoms

---

[7]
Entry from Alexandria via LeMat-Bulk: a geometry-optimized MnIn2Ag structure (PBE).

Lattice parameters (Å, degrees): 4.013 3.014 7.127 64.98 90.00 90.00
Each line ends with the local moment (μB).
Positions (direct):
Ag (0.500, 0.750, 0.750)  0.01
Mn (0.500, 0.250, 0.250)  3.41
In (0.000, 0.985, 0.014)  -0.06
In (0.000, 0.515, 0.486)  -0.06

Crystal system ... orthorhombic
Energy relative to the elements ... 17.24 kJ per mole of atoms
Energy above the most stable polymorph in this dataset ... 0.036 eV per atom

---

[8]
Entry from Alexandria via LeMat-Bulk: a geometry-optimized CuTeAu2 structure (PBE).

Lattice parameters (Å, degrees): 4.027 4.027 10.281 78.71 78.71 90.00
Positions (direct):
Au (0.615, 0.125, 0.250)
Au (0.875, 0.865, 0.750)
Au (0.375, 0.385, 0.750)
Au (0.135, 0.625, 0.250)
Cu (0.250, 0.750, 0.500)
Cu (0.500, 0.500, 0.000)
Te (0.750, 0.250, 0.500)
Te (0.000, 0.000, 0.000)

Formation energy from raw total energies ... 130 meV per atom
Crystal system ... tetragonal

---

| no. | E (eV/atom) |
| --- | --- |
| 1 | -9.202 |
| 2 | -7.454 |
| 3 | -3.460 |
| 4 | -2.211 |
| 5 | -2.778 |
| 6 | -6.597 |
| 7 | -4.196 |
| 8 | -3.318 |